1.
A plane-wave DFT calculation with PBE was carried out for an optimized crystal structure of Zr3Zn3NiIr2.

Cell: 7.1156 7.1156 3.4593 Å, 90.00 90.00 120.00°
Atoms (fractional coordinates):
Zr 0.0000 0.5983 0.0000
Zr 0.4017 0.4017 0.0000
Zr 0.5983 0.0000 0.0000
Zn 0.0000 0.2492 0.5000
Zn 0.2492 0.0000 0.5000
Zn 0.7508 0.7508 0.5000
Ni 0.0000 0.0000 0.0000
Ir 0.3333 0.6667 0.5000
Ir 0.6667 0.3333 0.5000

Summary:
size of the total moment	0.00	μB per cell
calculated density	9.995	g cm⁻³
energy of formation from the pure elements	-0.594	eV/atom

***

2.
A plane-wave DFT calculation with PBE was carried out for an optimized crystal structure of ZrNiIr2.

Cell: 4.4304 4.4304 4.4304 Å, 60.00 60.00 60.00°
Atoms (fractional coordinates):
Zr 0.0000 0.0000 0.0000
Ni 0.7500 0.7500 0.7500
Ir 0.2500 0.2500 0.2500
Ir 0.5000 0.5000 0.5000

Summary:
size of the total moment	0.61	μB per cell
calculated density	14.430	g cm⁻³
energy of formation from the pure elements	-0.208	eV/atom

***

3.
A plane-wave DFT calculation with PBE was carried out for an optimized crystal structure of NpIr.

Cell: 4.2960 4.2960 4.2960 Å, 60.00 60.00 60.00°
Atoms (fractional coordinates):
Np 0.0000 0.0000 0.0000
Ir 0.2500 0.2500 0.2500

Summary:
size of the total moment	3.86	μB per cell
calculated density	12.713	g cm⁻³
energy of formation from the pure elements	0.543	eV/atom

***

4.
A plane-wave DFT calculation with PBE was carried out for an optimized crystal structure of NpIr.

Cell: 2.7579 2.7579 5.1423 Å, 90.00 90.00 120.00°
Atoms (fractional coordinates):
Np 0.0000 0.0000 0.0000
Ir 0.3333 0.6667 0.5000

Summary:
size of the total moment	2.78	μB per cell
calculated density	21.041	g cm⁻³
energy of formation from the pure elements	-0.049	eV/atom

***

5.
A plane-wave DFT calculation with PBE was carried out for an optimized crystal structure of NpIrPd.

Cell: 4.4628 4.4628 4.4628 Å, 60.00 60.00 60.00°
Atoms (fractional coordinates):
Np 0.0000 0.0000 0.0000
Ir 0.2500 0.2500 0.2500
Pd 0.5000 0.5000 0.5000

Summary:
size of the total moment	3.54	μB per cell
calculated density	14.152	g cm⁻³
energy above the lowest structure with this stoichiometry	0.0	meV per atom
energy of formation from the pure elements	0.017	eV/atom

***

6.
A plane-wave DFT calculation with PBE was carried out for an optimized crystal structure of NpIrPt.

Cell: 4.4727 4.4727 4.4727 Å, 60.00 60.00 60.00°
Atoms (fractional coordinates):
Np 0.0000 0.0000 0.0000
Ir 0.7500 0.7500 0.7500
Pt 0.5000 0.5000 0.5000

Summary:
size of the total moment	2.75	μB per cell
calculated density	16.385	g cm⁻³
energy above the lowest structure with this stoichiometry	0.0	meV per atom
energy of formation from the pure elements	-0.099	eV/atom

***

7.
A plane-wave DFT calculation with PBE was carried out for an optimized crystal structure of NpIrPt.

Cell: 4.5159 4.5159 4.5159 Å, 60.00 60.00 60.00°
Atoms (fractional coordinates):
Np 0.0000 0.0000 0.0000
Ir 0.7500 0.7500 0.7500
Pt 0.2500 0.2500 0.2500

Summary:
size of the total moment	2.69	μB per cell
calculated density	15.919	g cm⁻³
energy above the lowest structure with this stoichiometry	36.3	meV per atom
energy of formation from the pure elements	-0.063	eV/atom

***

8.
A plane-wave DFT calculation with PBE was carried out for an optimized crystal structure of NpUIrPt.

Cell: 4.6796 4.6796 4.6796 Å, 60.00 60.00 60.00°
Atoms (fractional coordinates):
Np 0.0000 0.0000 0.0000
U 0.2500 0.2500 0.2500
Ir 0.5000 0.5000 0.5000
Pt 0.7500 0.7500 0.7500

Summary:
size of the total moment	4.00	μB per cell
calculated density	19.761	g cm⁻³
energy of formation from the pure elements	-0.654	eV/atom

***

9.
A plane-wave DFT calculation with PBE was carried out for an optimized crystal structure of PuNpIr.

Cell: 4.7536 4.7536 4.7536 Å, 60.00 60.00 60.00°
Atoms (fractional coordinates):
Pu 0.0000 0.0000 0.0000
Np 0.5000 0.5000 0.5000
Ir 0.2500 0.2500 0.2500

Summary:
size of the total moment	9.79	μB per cell
calculated density	14.718	g cm⁻³
energy above the lowest structure with this stoichiometry	0.0	meV per atom
energy of formation from the pure elements	-0.201	eV/atom

***

10.
A plane-wave DFT calculation with PBE was carried out for an optimized crystal structure of PuNpIr4.

Cell: 5.3483 5.3483 5.3483 Å, 60.00 60.00 60.00°
Atoms (fractional coordinates):
Pu 0.0000 0.0000 0.0000
Np 0.2500 0.2500 0.2500
Ir 0.1250 0.6250 0.6250
Ir 0.6250 0.1250 0.6250
Ir 0.6250 0.6250 0.1250
Ir 0.6250 0.6250 0.6250

Summary:
size of the total moment	8.44	μB per cell
calculated density	19.185	g cm⁻³
energy of formation from the pure elements	-0.582	eV/atom

***

11.
A plane-wave DFT calculation with PBE was carried out for an optimized crystal structure of NpScIr.

Cell: 4.5808 4.5808 4.5808 Å, 60.00 60.00 60.00°
Atoms (fractional coordinates):
Np 0.0000 0.0000 0.0000
Sc 0.5000 0.5000 0.5000
Ir 0.2500 0.2500 0.2500

Summary:
size of the total moment	4.64	μB per cell
calculated density	11.585	g cm⁻³
energy above the lowest structure with this stoichiometry	0.0	meV per atom
energy of formation from the pure elements	-0.261	eV/atom

***

12.
A plane-wave DFT calculation with PBE was carried out for an optimized crystal structure of NpSiIr.

Cell: 4.4123 4.4123 4.4123 Å, 60.00 60.00 60.00°
Atoms (fractional coordinates):
Np 0.0000 0.0000 0.0000
Si 0.5000 0.5000 0.5000
Ir 0.7500 0.7500 0.7500

Summary:
size of the total moment	3.40	μB per cell
calculated density	12.502	g cm⁻³
electronic total energy	-0.339	hartree per atom

***

13.
A plane-wave DFT calculation with PBE was carried out for an optimized crystal structure of NpSi2Ir.

Cell: 6.9387 4.0552 9.8289 Å, 90.00 90.00 90.00°
Atoms (fractional coordinates):
Np 0.1427 0.2500 0.1256
Np 0.3573 0.7500 0.6256
Np 0.6427 0.2500 0.3744
Np 0.8573 0.7500 0.8744
Si 0.1491 0.2500 0.8190
Si 0.2107 0.2500 0.4221
Si 0.2893 0.7500 0.9221
Si 0.3509 0.7500 0.3190
Si 0.6491 0.2500 0.6810
Si 0.7107 0.2500 0.0779
Si 0.7893 0.7500 0.5779
Si 0.8509 0.7500 0.1810
Ir 0.0104 0.7500 0.3907
Ir 0.4896 0.2500 0.8907
Ir 0.5104 0.7500 0.1093
Ir 0.9896 0.2500 0.6093

Summary:
size of the total moment	15.21	μB per cell
calculated density	11.657	g cm⁻³
electronic total energy	-0.321	hartree per atom

***

14.
A plane-wave DFT calculation with PBE was carried out for an optimized crystal structure of SmNpIr.

Cell: 4.7794 4.7794 4.7794 Å, 60.00 60.00 60.00°
Atoms (fractional coordinates):
Sm 0.0000 0.0000 0.0000
Np 0.5000 0.5000 0.5000
Ir 0.2500 0.2500 0.2500

Summary:
size of the total moment	4.59	μB per cell
calculated density	12.467	g cm⁻³
energy above the lowest structure with this stoichiometry	0.0	meV per atom
energy of formation from the pure elements	-0.170	eV/atom

***

15.
A plane-wave DFT calculation with PBE was carried out for an optimized crystal structure of NpTaIr.

Cell: 4.5093 4.5093 4.5093 Å, 60.00 60.00 60.00°
Atoms (fractional coordinates):
Np 0.0000 0.0000 0.0000
Ta 0.5000 0.5000 0.5000
Ir 0.2500 0.2500 0.2500

Summary:
size of the total moment	3.67	μB per cell
calculated density	15.628	g cm⁻³
energy of formation from the pure elements	0.251	eV/atom

***

16.
A plane-wave DFT calculation with PBE was carried out for an optimized crystal structure of TbNpIr.

Cell: 4.7368 4.7368 4.7368 Å, 60.00 60.00 60.00°
Atoms (fractional coordinates):
Tb 0.0000 0.0000 0.0000
Np 0.5000 0.5000 0.5000
Ir 0.2500 0.2500 0.2500

Summary:
size of the total moment	4.58	μB per cell
calculated density	12.996	g cm⁻³
energy above the lowest structure with this stoichiometry	0.0	meV per atom
energy of formation from the pure elements	-0.221	eV/atom

***

17.
A plane-wave DFT calculation with PBE was carried out for an optimized crystal structure of NpTeIr.

Cell: 4.6807 4.6807 4.6807 Å, 60.00 60.00 60.00°
Atoms (fractional coordinates):
Np 0.0000 0.0000 0.0000
Te 0.5000 0.5000 0.5000
Ir 0.2500 0.2500 0.2500

Summary:
size of the total moment	3.96	μB per cell
calculated density	12.751	g cm⁻³
energy above the lowest structure with this stoichiometry	0.0	meV per atom

***

18.
A plane-wave DFT calculation with PBE was carried out for an optimized crystal structure of ThNpIr.

Cell: 4.8661 4.8661 4.8661 Å, 60.00 60.00 60.00°
Atoms (fractional coordinates):
Th 0.0000 0.0000 0.0000
Np 0.5000 0.5000 0.5000
Ir 0.2500 0.2500 0.2500

Summary:
size of the total moment	5.09	μB per cell
calculated density	13.477	g cm⁻³
energy above the lowest structure with this stoichiometry	0.0	meV per atom
energy of formation from the pure elements	-0.170	eV/atom

***

19.
A plane-wave DFT calculation with PBE was carried out for an optimized crystal structure of TmNpIr.

Cell: 4.6928 4.6928 4.6928 Å, 60.00 60.00 60.00°
Atoms (fractional coordinates):
Tm 0.0000 0.0000 0.0000
Np 0.5000 0.5000 0.5000
Ir 0.2500 0.2500 0.2500

Summary:
size of the total moment	4.64	μB per cell
calculated density	13.592	g cm⁻³
energy above the lowest structure with this stoichiometry	0.0	meV per atom
energy of formation from the pure elements	-0.261	eV/atom

***

20.
A plane-wave DFT calculation with PBE was carried out for an optimized crystal structure of NpUIr.

Cell: 4.4555 4.4555 4.4555 Å, 60.00 60.00 60.00°
Atoms (fractional coordinates):
Np 0.0000 0.0000 0.0000
U 0.2500 0.2500 0.2500
Ir 0.7500 0.7500 0.7500

Summary:
size of the total moment	3.98	μB per cell
calculated density	17.716	g cm⁻³
energy above the lowest structure with this stoichiometry	0.0	meV per atom
energy of formation from the pure elements	-0.165	eV/atom